1.
A relaxed CeNb2CrO8 crystal. Source: Alexandria, functional PBE+U.

Summary:
* crystal system: monoclinic
* calculated density: 5.41 g/cm3
* energy: -8.689 eV per atom

The structure in extended XYZ format:
```
12
Lattice="3.5514 -3.3866 0.0000 3.5514 3.3866 0.0000 -0.0541 0.0000 6.4544" Properties=species:S:1:pos:R:3 pbc="T T T"
Ce 0.0000 0.0000 0.0000
Nb 3.3614 0.0000 4.7486
Nb 3.6873 0.0000 1.7058
Cr -0.0270 0.0000 3.2272
O 3.4981 1.9826 1.7761
O 3.5507 1.9826 4.6783
O 2.1366 0.0000 3.2352
O 2.2393 0.0000 6.3929
O 4.8094 0.0000 0.0614
O 4.9121 0.0000 3.2192
O 3.4981 -1.9826 1.7761
O 3.5507 -1.9826 4.6783
```

2.
A relaxed CeNbCr2O8 crystal. Source: Alexandria, functional PBE+U.

Summary:
* crystal system: orthorhombic
* calculated density: 5.26 g/cm3
* energy: -8.193 eV per atom

The structure in extended XYZ format:
```
12
Lattice="3.3411 -3.3783 0.0000 3.3411 3.3783 0.0000 0.0000 0.0000 6.4969" Properties=species:S:1:pos:R:3 pbc="T T T"
Ce 0.0000 0.0000 0.0000
Nb 0.0000 0.0000 3.2484
Cr 3.3411 0.0000 1.6710
Cr 3.3411 0.0000 4.8258
O 1.3545 0.0000 1.8007
O 1.3545 0.0000 4.6961
O 3.3411 1.2924 3.2484
O 3.3411 1.1912 0.0000
O 3.3411 -1.1912 0.0000
O 3.3411 -1.2924 3.2484
O 5.3277 0.0000 1.8007
O 5.3277 0.0000 4.6961
```

3.
A relaxed CeNpCrO6 crystal. Source: Alexandria, functional PBE+U.

Summary:
* crystal system: trigonal
* calculated density: 6.93 g/cm3
* energy: -9.013 eV per atom

The structure in extended XYZ format:
```
18
Lattice="5.3840 0.0000 0.0000 -2.6920 4.6627 0.0000 0.0000 0.0000 10.0242" Properties=species:S:1:pos:R:3 pbc="T T T"
Ce 0.0000 0.0000 0.0000
Ce 0.0000 0.0000 5.0121
Np 0.0000 3.1085 2.5060
Np 2.6920 1.5542 7.5181
Cr 0.0000 3.1085 7.5181
Cr 2.6920 1.5542 2.5060
O -0.9031 1.6669 6.4068
O -1.7001 3.0471 8.6294
O 0.9031 1.6669 8.6294
O -0.7969 4.6114 6.4068
O 1.8951 0.0513 1.3948
O 0.9920 1.6156 3.6173
O 1.7001 3.0471 6.4068
O 0.7969 4.6114 8.6294
O 3.4889 0.0513 3.6173
O 1.7889 2.9959 1.3948
O 4.3921 1.6156 1.3948
O 3.5952 2.9959 3.6173
```